1.
This record from Alexandria via LeMat-Bulk describes a geometry-optimized MnPd2F6 structure. The functional is PBE with a Hubbard U.

```
18
Lattice="-1.100 4.070 4.560 2.716 -3.448 6.106 6.875 1.644 2.565" Properties=species:S:1:pos:R:3 pbc="T T T"
Pd 5.792 0.817 10.371
F 6.259 1.323 5.964
Pd 0.885 1.936 6.216
F 0.784 1.891 2.251
F 7.707 0.374 10.980
Pd 7.606 0.329 7.014
F 8.991 -0.762 8.075
F -0.500 3.028 5.156
F 2.026 0.250 4.340
F 2.232 0.942 7.267
Mn 2.337 0.150 9.146
Mn 6.154 2.115 4.085
F 6.466 2.015 8.891
F 4.521 1.035 3.508
F 6.170 -1.055 7.331
F 3.971 1.230 9.723
F 2.322 3.320 5.899
Pd 2.699 1.449 2.860
```

Properties
total energy = -0.178 Ha/atom
space-group type = C2/c, No. 15



2.
This record from Alexandria via LeMat-Bulk describes a geometry-optimized VSe2O6 structure. The functional is PBE with a Hubbard U.

```
72
Lattice="11.560 0.000 0.000 0.000 11.560 0.000 0.000 0.000 7.840" Properties=species:S:1:pos:R:3 pbc="T T T"
O 9.884 4.704 5.103
Se 3.257 4.271 0.841
V 0.000 5.780 0.802
O 10.135 1.398 4.929
O 7.509 10.527 1.133
O 4.050 10.527 5.053
Se 7.288 8.303 4.760
Se 10.366 8.761 3.911
O 5.780 0.000 3.058
O 8.589 8.607 7.370
Se 2.799 1.193 7.831
V 5.780 0.000 0.802
O 1.424 10.162 4.929
O 1.033 4.050 5.053
O 2.952 2.971 3.450
Se 8.303 7.288 0.841
O 6.856 1.676 1.183
O 1.676 6.856 5.103
O 5.780 5.780 5.611
V 5.780 5.780 7.308
O 1.033 7.509 1.133
O 1.424 1.398 1.010
O 0.000 5.780 3.058
Se 7.288 3.257 0.841
V 0.000 0.000 5.194
O 1.676 4.704 1.183
Se 8.761 10.366 7.831
Se 10.366 2.799 7.831
O 5.780 0.000 6.977
O 7.509 1.033 5.053
Se 3.257 7.288 4.760
O 6.074 3.799 7.582
O 2.971 8.607 3.450
Se 4.271 3.257 4.760
O 7.760 6.074 7.582
Se 1.193 2.799 3.911
V 5.780 5.780 3.389
O 8.607 8.589 3.450
O 6.856 9.884 5.103
Se 4.271 8.303 0.841
Se 2.799 10.366 3.911
O 9.884 6.856 1.183
Se 1.193 8.761 7.831
O 4.050 1.033 1.133
O 1.398 10.135 1.010
O 10.162 1.424 1.010
O 5.485 3.799 3.662
O 2.952 8.589 7.370
O 10.135 10.162 1.010
O 8.589 2.952 3.450
O 3.799 6.074 3.662
O 2.971 2.952 7.370
V 0.000 0.000 1.274
O 5.780 5.780 1.691
O 1.398 1.424 4.929
O 0.000 0.000 2.965
O 6.074 7.760 3.662
O 10.162 10.135 4.929
O 10.527 7.509 5.053
Se 8.761 1.193 3.911
O 4.704 1.676 5.103
O 0.000 5.780 6.977
O 4.704 9.884 1.183
O 0.000 0.000 6.885
V 5.780 0.000 4.722
O 7.760 5.485 3.662
O 8.607 2.971 7.370
Se 8.303 4.271 4.760
O 10.527 4.050 1.133
O 3.799 5.485 7.582
O 5.485 7.760 7.582
V 0.000 5.780 4.722
```

Properties
space-group type = P4cc, No. 103
energy above the lowest structure with this stoichiometry = 0.00 eV/f.u.



Quick rundown of magnetic moment, same order as above: 4.992 1.000 μB/f.u.